Entry 1:
First-principles (PBE-GGA) data for an optimized crystal structure of YThFe4, as listed in the Alexandria database.

Cell: 7.3524 7.3524 7.3524 Å, 90.00 90.00 90.00°
Space group F-43m (No. 216)
Unique sites:
Y 0.0000 0.0000 0.0000 x4
Th 0.2500 0.2500 0.2500 x4
Fe 0.1248 0.1248 0.6248 x16

Calculated values
* formation enthalpy at 0 K: -0.07 eV per atom
* total energy: -8.022 eV per atom
* total magnetization: 7.06 μB/f.u.

***

Entry 2:
First-principles (PBE-GGA) data for an optimized crystal structure of YTh4Fe2, as listed in the Alexandria database.

Cell: 7.0865 6.7775 8.3812 Å, 90.00 113.50 90.00°
Space group P2_1/m (No. 11)
Unique sites:
Y 0.0053 0.2500 0.2744 x2
Th 0.2267 0.2500 0.7179 x2
Th 0.3016 0.5013 0.1046 x4
Th 0.3354 0.7500 0.5035 x2
Fe 0.0284 0.7500 0.1419 x2
Fe 0.4101 0.7500 0.8676 x2

Calculated values
* formation enthalpy at 0 K: 0.00 eV per atom
* total energy: -7.585 eV per atom
* total magnetization: 0.00 μB/f.u.